(1)
# FeCo2Pt, relaxed, DFT PBE
data_FeCo2Pt
_chemical_formula_sum 'Fe2 Co4 Pt2'
_cell_length_a 3.6828
_cell_length_b 3.6828
_cell_length_c 7.3797
_cell_angle_alpha 90.00
_cell_angle_beta 90.00
_cell_angle_gamma 90.00
_space_group_name_H-M_alt 'I -4 m 2'
_space_group_IT_number 119
_space_group_name_Hall 'I -4 -2'
loop_
_atom_site_label
_atom_site_type_symbol
_atom_site_fract_x
_atom_site_fract_y
_atom_site_fract_z
Fe1 Fe 0.0000 0.0000 0.0000
Co1 Co 0.0000 0.0000 0.5000
Co2 Co 0.0000 0.5000 0.7500
Pt1 Pt 0.0000 0.5000 0.2500
# - Calculated formation energy: -2.31 kcal/mol of atoms
# - D(E_F): 7.74 states/eV/cell
# - Total energy: -58.233 eV/cell
# - Total moment: 13.03 Bohr magnetons per cell

=====

(2)
# Fe2Co3Pt, relaxed, DFT PBE
data_Fe2Co3Pt
_chemical_formula_sum 'Fe4 Co6 Pt2'
_cell_length_a 5.1609
_cell_length_b 5.1709
_cell_length_c 5.7832
_cell_angle_alpha 77.07
_cell_angle_beta 76.72
_cell_angle_gamma 90.00
_space_group_name_H-M_alt 'P -1'
_space_group_IT_number 2
_space_group_name_Hall '-P 1'
loop_
_atom_site_label
_atom_site_type_symbol
_atom_site_fract_x
_atom_site_fract_y
_atom_site_fract_z
Fe1 Fe 0.0886 0.0830 0.1659
Fe2 Fe 0.0888 0.5847 0.1636
Co1 Co 0.2547 0.7503 0.4992
Co2 Co 0.4143 0.4141 0.8407
Co3 Co 0.4137 0.9152 0.8410
Pt1 Pt 0.2532 0.2504 0.5008
# - Calculated formation energy: -0.97 kcal/mol of atoms
# - D(E_F): 11.09 states/eV/cell
# - Total energy: -89.075 eV/cell
# - Total moment: 21.71 Bohr magnetons per cell

=====

(3)
# Fe2CoPt9, relaxed, DFT PBE
data_Fe2CoPt9
_chemical_formula_sum 'Fe2 Co1 Pt9'
_cell_length_a 3.9141
_cell_length_b 3.9141
_cell_length_c 11.6671
_cell_angle_alpha 90.00
_cell_angle_beta 90.00
_cell_angle_gamma 90.00
_space_group_name_H-M_alt 'P 4/m m m'
_space_group_IT_number 123
_space_group_name_Hall '-P 4 2'
loop_
_atom_site_label
_atom_site_type_symbol
_atom_site_fract_x
_atom_site_fract_y
_atom_site_fract_z
Fe1 Fe 0.0000 0.0000 0.1703
Co1 Co 0.0000 0.0000 0.5000
Pt1 Pt 0.0000 0.5000 0.0000
Pt2 Pt 0.0000 0.5000 0.3341
Pt3 Pt 0.5000 0.5000 0.1664
Pt4 Pt 0.5000 0.5000 0.5000
# - Calculated formation energy: -3.83 kcal/mol of atoms
# - D(E_F): 13.74 states/eV/cell
# - Total energy: -80.389 eV/cell
# - Total moment: 6.08 Bohr magnetons per cell